Record 1
# Ba2ZnBi2 PBE-GGA relaxed
# raw total energy	-3.28	eV/atom
# crystal system	orthorhombic
data_Ba2ZnBi2
_chemical_formula_sum 'Ba8 Zn4 Bi8'
_cell_length_a 4.9536
_cell_length_b 18.4871
_cell_length_c 8.6435
_cell_angle_alpha 90.00
_cell_angle_beta 90.00
_cell_angle_gamma 90.00
_symmetry_space_group_name_H-M 'C m c 21'
_symmetry_Int_Tables_number 36
loop_
_symmetry_equiv_pos_as_xyz
'x,y,z'
'-x,-y,z+1/2'
'-x,y,z'
'x,-y,z+1/2'
'x+1/2,y+1/2,z'
'-x+1/2,-y+1/2,z+1/2'
'-x+1/2,y+1/2,z'
'x+1/2,-y+1/2,z+1/2'
loop_
_atom_site_label
_atom_site_type_symbol
_atom_site_fract_x
_atom_site_fract_y
_atom_site_fract_z
Ba1 Ba 0.0000 0.0289 0.0000
Ba2 Ba 0.0000 0.2107 0.6764
Zn1 Zn 0.0000 0.4148 0.8523
Bi1 Bi 0.0000 0.1618 0.2839
Bi2 Bi 0.0000 0.4336 0.2084



Record 2
# Li5Ga2Sn2 PBE-GGA relaxed
# raw total energy	-2.83	eV/atom
# crystal system	orthorhombic
data_Li5Ga2Sn2
_chemical_formula_sum 'Li20 Ga8 Sn8'
_cell_length_a 11.1973
_cell_length_b 9.2073
_cell_length_c 6.8523
_cell_angle_alpha 90.00
_cell_angle_beta 90.00
_cell_angle_gamma 90.00
_symmetry_space_group_name_H-M 'C m c e'
_symmetry_Int_Tables_number 64
_symmetry_space_group_name_Hall '-C 2ac 2'
loop_
_atom_site_label
_atom_site_type_symbol
_atom_site_fract_x
_atom_site_fract_y
_atom_site_fract_z
Li1 Li 0.0000 0.0000 0.0000
Li2 Li 0.1310 0.2283 0.3221
Ga1 Ga 0.0000 0.0871 0.6364
Sn1 Sn 0.2494 0.0000 0.5000



Record 3
# La5P4 PBE-GGA relaxed
# raw total energy	-6.37	eV/atom
# crystal system	tetragonal
data_La5P4
_chemical_formula_sum 'La10 P8'
_cell_length_a 11.8446
_cell_length_b 11.8446
_cell_length_c 4.1202
_cell_angle_alpha 90.00
_cell_angle_beta 90.00
_cell_angle_gamma 90.00
_symmetry_space_group_name_H-M 'I 4/m'
_symmetry_Int_Tables_number 87
_symmetry_space_group_name_Hall '-I 4'
loop_
_atom_site_label
_atom_site_type_symbol
_atom_site_fract_x
_atom_site_fract_y
_atom_site_fract_z
La1 La 0.0000 0.0000 0.0000
La2 La 0.0935 0.2399 0.5000
P1 P 0.0971 0.7751 0.0000